Here is an optimized crystal structure of Zn2PbCl from the Alexandria database. Energies are from PBE.

* spin magnetization: 0.000 μB/atom
* DOS(E_F): 1.9 states/eV per cell
* formation energy (no corrections): 1 meV/atom
* total energy: -8.099 eV per formula unit
* offset from the most stable computed form: 210 meV/atom
* space-group type: I-4m2, No. 119

abc: 5.7077 5.7077 5.7077
angles: 134.15 134.15 66.86
With the nearest neighbours (Å) after each atom.
Sites, in units of the cell vectors:
Zn 0.2500 0.7500 0.5000  4 Pb 3.14, 4 Zn 3.26, 4 Cl 3.26
Zn 0.0000 0.0000 0.0000  4 Cl 3.14, 4 Pb 3.26, 4 Zn 3.26
Pb 0.7500 0.2500 0.5000  8 Zn 3.14-3.26, 4 Cl 3.26
Cl 0.5000 0.5000 0.0000  8 Zn 3.14-3.26, 4 Pb 3.26